[1]
Density functional theory data (PBE) for a relaxed structure of Y3SnS2.

The value obtained for the uncorrected formation energy is -1185 meV per atom. The calculated volume comes out at 28.7 Å³ per atom. Its density is 4333 kg/m³. For the calculated total energy, the calculation gives -6.460 eV per atom.

The structure belongs to space group Imma (No. 74); the cell edges are 7.160, 10.778 and 8.929 Å and the angles 90.00°, 90.00° and 90.00°. The asymmetric unit holds Y at (0.231, 0.000, 0.000), Y at (0.250, 0.250, 0.250), Sn at (0.000, 0.250, 0.946) and S at (0.000, 0.058, 0.297).


[2]
Density functional theory data (PBE) for a relaxed structure of Sm2TlI3.

The value obtained for the uncorrected formation energy is -914 meV per atom. The calculated volume comes out at 40.0 Å³ per atom. Its density is 6136 kg/m³. For the calculated total energy, the calculation gives -3.657 eV per atom.

The structure belongs to space group C2/m (No. 12); the cell edges are 20.751, 4.211 and 14.307 Å and the angles 90.00°, 129.92° and 90.00°. The asymmetric unit holds Sm at (0.109, 0.000, 0.430), Sm at (0.126, 0.500, 0.829), Tl at (0.076, 0.000, 0.627), I at (0.044, 0.500, 0.218), I at (0.178, 0.000, 0.037) and I at (0.246, 0.500, 0.615).


[3]
Density functional theory data (PBE) for a relaxed structure of Ac5Hg3.

The calculated volume comes out at 36.4 Å³ per atom. Its density is 9903 kg/m³. The value obtained for the formation enthalpy at 0 K is -347 meV per atom. For the calculated total energy, the calculation gives -3.028 eV per atom.

The structure belongs to space group P4/mmm (No. 123); the cell edges are 4.055, 4.055 and 17.713 Å and the angles 90.00°, 90.00° and 90.00°. The asymmetric unit holds Ac at (0.000, 0.000, 0.000), Ac at (0.000, 0.000, 0.227), Ac at (0.500, 0.500, 0.387), Hg at (0.000, 0.000, 0.500) and Hg at (0.500, 0.500, 0.117).


[4]
Density functional theory data (PBE) for a relaxed structure of Sr5In2Sb.

The value obtained for the uncorrected formation energy is -536 meV per atom. The calculated volume comes out at 38.1 Å³ per atom. Its density is 4303 kg/m³. For the calculated total energy, the calculation gives -2.787 eV per atom.

The structure belongs to space group I4/mcm (No. 140); the cell edges are 8.690, 8.690 and 16.140 Å and the angles 90.00°, 90.00° and 90.00°. The asymmetric unit holds Sr at (0.000, 0.000, 0.000), Sr at (0.171, 0.329, 0.147), In at (0.121, 0.379, 0.500) and Sb at (0.000, 0.000, 0.250).


[5]
Density functional theory data (PBE) for a relaxed structure of Al4WAu.

The calculated volume comes out at 15.7 Å³ per atom. Its density is 8598 kg/m³. The value obtained for the formation enthalpy at 0 K is 213 meV per atom. For the calculated total energy, the calculation gives -4.987 eV per atom.

The structure belongs to space group F-43m (No. 216); the cell edges are 7.228, 7.228 and 7.228 Å and the angles 90.00°, 90.00° and 90.00°. The asymmetric unit holds Al at (0.125, 0.125, 0.125), W at (0.000, 0.000, 0.500) and Au at (0.250, 0.250, 0.750).


[6]
Density functional theory data (PBE) for a relaxed structure of Be3SbPd.

The value obtained for the uncorrected formation energy is 1277 meV per atom. The value obtained for the relative energy among the computed polymorphs is 4.32 eV per formula unit. The calculated volume comes out at 18.6 Å³ per atom. Its density is 4560 kg/m³. For the calculated total energy, the calculation gives -2.821 eV per atom.

The structure belongs to space group Pm-3m (No. 221); the cell edges are 4.530, 4.530 and 4.530 Å and the angles 90.00°, 90.00° and 90.00°. The asymmetric unit holds Be at (0.000, 0.000, 0.500), Sb at (0.000, 0.000, 0.000) and Pd at (0.500, 0.500, 0.500).


[7]
Density functional theory data (PBE) for a relaxed structure of AsAu2I8.

The value obtained for the uncorrected formation energy is 47 meV per atom. The calculated volume comes out at 40.7 Å³ per atom. Its density is 5504 kg/m³. For the calculated total energy, the calculation gives -2.099 eV per atom.

The structure belongs to space group C2/m (No. 12); the cell edges are 13.227, 9.381 and 7.422 Å and the angles 90.00°, 103.50° and 90.00°. The asymmetric unit holds As at (0.000, 0.000, 0.000), Au at (0.208, 0.000, 0.683), I at (0.087, 0.500, 0.274), I at (0.090, 0.209, 0.797) and I at (0.188, 0.000, 0.290).


[8]
Density functional theory data (PBE) for a relaxed structure of MgBe2B.

The value obtained for the relative energy among the computed polymorphs is 0.11 eV per formula unit. The calculated volume comes out at 11.7 Å³ per atom. Its density is 1883 kg/m³. The value obtained for the formation enthalpy at 0 K is 48 meV per atom. For the calculated total energy, the calculation gives -3.884 eV per atom.

The structure belongs to space group Pmmn (No. 59, origin choice 2); the cell edges are 3.376, 5.803 and 4.784 Å and the angles 90.00°, 90.00° and 90.00°. The asymmetric unit holds Mg at (0.250, 0.250, 0.001), Be at (0.250, 0.580, 0.570) and B at (0.250, 0.250, 0.505).


Q: Which value of calculated volume does entry 1 give?
A: 28.7 Å³ per atom